Record 1
Compound: YBeGaFe
Source: OQMD
Functional: PBE
Structure: relaxed

Cell lengths 4.4870, 4.4870, 4.4870 Å; angles 60.00, 60.00, 60.00 degrees
With the nearest neighbours (Å) after each atom.
Fractional coordinates of all 4 atoms:
Be  0.5000  0.5000  0.5000  4 Y 2.75, 4 Fe 2.75
Fe  0.7500  0.7500  0.7500  4 Ga 2.75, 4 Be 2.75
Ga  0.0000  0.0000  0.0000  4 Y 2.75, 4 Fe 2.75
Y  0.2500  0.2500  0.2500  4 Ga 2.75, 4 Be 2.75

## Properties
Crystal system   cubic
ΔE to the lowest computed polymorph   0 meV per atom
Total magnetization   2.05 μB per formula unit

Record 2
Compound: NaAlFeTe
Source: OQMD
Functional: PBE
Structure: relaxed

Cell lengths 4.8948, 4.8948, 4.8948 Å; angles 60.00, 60.00, 60.00 degrees
With the nearest neighbours (Å) after each atom.
Fractional coordinates of all 4 atoms:
Al  0.5000  0.5000  0.5000  4 Te 3.00, 4 Na 3.00
Fe  0.0000  0.0000  0.0000  4 Na 3.00, 4 Te 3.00
Na  0.7500  0.7500  0.7500  4 Fe 3.00, 4 Al 3.00
Te  0.2500  0.2500  0.2500  4 Al 3.00, 4 Fe 3.00

## Properties
Crystal system   cubic
ΔE to the lowest computed polymorph   176 meV per atom
Total magnetization   2.54 μB per formula unit

Record 3
Compound: LuInCuMo
Source: OQMD
Functional: PBE
Structure: relaxed

Cell lengths 4.7860, 4.7860, 4.7860 Å; angles 60.00, 60.00, 60.00 degrees
With the nearest neighbours (Å) after each atom.
Fractional coordinates of all 4 atoms:
Cu  0.7500  0.7500  0.7500  4 In 2.93, 4 Mo 2.93
In  0.0000  0.0000  0.0000  4 Cu 2.93, 4 Lu 2.93
Lu  0.2500  0.2500  0.2500  4 In 2.93, 4 Mo 2.93
Mo  0.5000  0.5000  0.5000  4 Cu 2.93, 4 Lu 2.93

## Properties
Crystal system   cubic
ΔE to the lowest computed polymorph   203 meV per atom
Total magnetization   1.77 μB per formula unit

Record 4
Compound: ZrCdAs
Source: OQMD
Functional: PBE
Structure: relaxed

Cell lengths 4.6675, 4.6675, 4.6675 Å; angles 60.00, 60.00, 60.00 degrees
With the nearest neighbours (Å) after each atom.
Fractional coordinates of all 3 atoms:
As  0.2500  0.2500  0.2500  4 Zr 2.86
Cd  0.7500  0.7500  0.7500  4 Zr 2.86
Zr  0.0000  0.0000  0.0000  4 Cd 2.86, 4 As 2.86

## Properties
Calculated total energy   -14.10 eV for the cell shown
Crystal system   cubic
Total magnetization   0.01 μB per formula unit

Record 5
Compound: Gd2HoMg3Al2Hg
Source: OQMD
Functional: PBE
Structure: relaxed

Cell lengths 4.5376, 7.4201, 7.4201 Å; angles 119.72, 90.00, 90.00 degrees
With the nearest neighbours (Å) after each atom.
Fractional coordinates of all 9 atoms:
Al  0.5000  0.6664  0.3352  3 Mg 2.86-2.87, 2 Ho 3.16, 4 Gd 3.18
Al  0.5000  0.3352  0.6664  3 Mg 2.86-2.87, 2 Ho 3.16, 4 Gd 3.18
Gd  0.0000  0.4250  0.0006  1 Hg 3.16, 4 Al 3.18, 2 Mg 3.34
Gd  0.0000  0.0006  0.4250  1 Hg 3.16, 4 Al 3.18, 2 Mg 3.34
Hg  0.0000  0.9971  0.9971  6 Mg 2.90-2.92, 1 Ho 3.14, 2 Gd 3.16
Ho  0.0000  0.5762  0.5762  1 Hg 3.14, 4 Al 3.16, 2 Mg 3.35
Mg  0.5000  0.2448  0.2448  2 Al 2.86, 2 Hg 2.92, 2 Mg 3.16
Mg  0.5000  0.9997  0.7549  2 Al 2.86-2.87, 2 Hg 2.90, 2 Mg 3.14-3.16
Mg  0.5000  0.7549  0.9997  2 Al 2.86-2.87, 2 Hg 2.90, 2 Mg 3.14-3.16

## Properties
Calculated total energy   -29.64 eV for the cell shown
Crystal system   orthorhombic
Total magnetization   0.00 μB per formula unit

Record 6
Compound: NiGe3Pd
Source: OQMD
Functional: PBE
Structure: relaxed

Cell lengths 6.0538, 6.0538, 6.0538 Å; angles 141.36, 141.36, 55.79 degrees
With the nearest neighbours (Å) after each atom.
Fractional coordinates of all 5 atoms:
Ge  0.4175  0.4175  0.0000  1 Ni 2.25
Ge  0.7472  0.2472  0.5000  2 Ni 2.37
Ge  0.2472  0.7472  0.5000  2 Ni 2.37
Ni  0.6281  0.6281  0.0000  5 Ge 2.25-2.37
Pd  0.0749  0.0749  0.0000  4 Ge 2.72, 4 Ni 2.89

## Properties
Calculated total energy   -24.47 eV for the cell shown
Crystal system   tetragonal
Total magnetization   0.00 μB per formula unit

Record 7
Compound: PmPbI
Source: OQMD
Functional: PBE
Structure: relaxed

Cell lengths 5.3052, 5.3052, 5.3052 Å; angles 60.00, 60.00, 60.00 degrees
With the nearest neighbours (Å) after each atom.
Fractional coordinates of all 3 atoms:
I  0.7500  0.7500  0.7500  4 Pb 3.25, 4 Pm 3.25
Pb  0.0000  0.0000  0.0000  4 I 3.25
Pm  0.5000  0.5000  0.5000  4 I 3.25

## Properties
Calculated total energy   -10.23 eV for the cell shown
Crystal system   cubic
Total magnetization   0.16 μB per formula unit

Record 8
Compound: LuGe2
Source: OQMD
Functional: PBE
Structure: relaxed

Cell lengths 5.5814, 5.5814, 5.5814 Å; angles 60.00, 60.00, 60.00 degrees
With the nearest neighbours (Å) after each atom.
Fractional coordinates of all 6 atoms:
Ge  0.6250  0.6250  0.1250  6 Ge 2.79
Ge  0.6250  0.1250  0.6250  6 Ge 2.79
Ge  0.1250  0.6250  0.6250  6 Ge 2.79
Ge  0.6250  0.6250  0.6250  6 Ge 2.79
Lu  0.0000  0.0000  0.0000  12 Ge 3.27, 4 Lu 3.42
Lu  0.2500  0.2500  0.2500  12 Ge 3.27, 4 Lu 3.42

## Properties
Calculated total energy   -28.91 eV for the cell shown
Crystal system   cubic
Total magnetization   0.00 μB per formula unit

Record 9
Compound: YNbFeSi
Source: OQMD
Functional: PBE
Structure: relaxed

Cell lengths 4.5265, 4.5265, 4.5265 Å; angles 60.00, 60.00, 60.00 degrees
With the nearest neighbours (Å) after each atom.
Fractional coordinates of all 4 atoms:
Fe  0.7500  0.7500  0.7500  4 Y 2.77, 4 Si 2.77
Nb  0.2500  0.2500  0.2500  4 Si 2.77, 4 Y 2.77
Si  0.0000  0.0000  0.0000  4 Nb 2.77, 4 Fe 2.77
Y  0.5000  0.5000  0.5000  4 Fe 2.77, 4 Nb 2.77

## Properties
Crystal system   cubic
ΔE to the lowest computed polymorph   0 meV per atom
Total magnetization   2.00 μB per formula unit

Record 10
Compound: LaTlAu2
Source: OQMD
Functional: PBE
Structure: relaxed

Cell lengths 5.3167, 5.3167, 8.2599 Å; angles 90.00, 90.00, 120.00 degrees
With the nearest neighbours (Å) after each atom.
Fractional coordinates of all 8 atoms:
Au  0.3333  0.6667  0.0849  1 Au 2.73, 1 Tl 2.77
Au  0.3333  0.6667  0.4151  1 Au 2.73, 1 Tl 2.77
Au  0.6667  0.3333  0.5849  1 Au 2.73, 1 Tl 2.77
Au  0.6667  0.3333  0.9151  1 Au 2.73, 1 Tl 2.77
La  0.0000  0.0000  0.2500  3 Tl 3.07, 6 Au 3.36
La  0.0000  0.0000  0.7500  3 Tl 3.07, 6 Au 3.36
Tl  0.6667  0.3333  0.2500  2 Au 2.77, 3 La 3.07
Tl  0.3333  0.6667  0.7500  2 Au 2.77, 3 La 3.07

## Properties
Crystal system   hexagonal
ΔE to the lowest computed polymorph   367 meV per atom
Total magnetization   0.05 μB per formula unit

Record 11
Compound: DySiW
Source: OQMD
Functional: PBE
Structure: relaxed

Cell lengths 4.4469, 4.4469, 4.4469 Å; angles 60.00, 60.00, 60.00 degrees
With the nearest neighbours (Å) after each atom.
Fractional coordinates of all 3 atoms:
Dy  0.2500  0.2500  0.2500  4 Si 2.72
Si  0.0000  0.0000  0.0000  4 W 2.72, 4 Dy 2.72
W  0.7500  0.7500  0.7500  4 Si 2.72

## Properties
Calculated total energy   -22.26 eV for the cell shown
Crystal system   cubic
Total magnetization   0.40 μB per formula unit

Record 12
Compound: HoTlTe3Pd
Source: OQMD
Functional: PBE
Structure: relaxed

Cell lengths 8.9530, 4.1972, 10.9370 Å; angles 90.00, 112.44, 90.00 degrees
With the nearest neighbours (Å) after each atom.
Fractional coordinates of all 12 atoms:
Ho  0.3046  0.2500  0.3474  6 Te 3.01-3.17, 2 Pd 3.30
Ho  0.6954  0.7500  0.6526  6 Te 3.01-3.17, 2 Pd 3.30
Pd  0.0939  0.7500  0.1123  4 Te 2.67-2.69
Pd  0.9061  0.2500  0.8877  4 Te 2.67-2.69
Te  0.2235  0.2500  0.0384  3 Pd 2.67-2.69
Te  0.0542  0.7500  0.3442  1 Pd 2.69
Te  0.5599  0.7500  0.3543  3 Ho 3.01-3.08
Te  0.4401  0.2500  0.6457  3 Ho 3.01-3.08
Te  0.9458  0.2500  0.6558  1 Pd 2.69
Te  0.7765  0.7500  0.9616  3 Pd 2.67-2.69
Tl  0.7344  0.2500  0.2043  6 Te 3.39-3.52
Tl  0.2656  0.7500  0.7957  6 Te 3.39-3.52

## Properties
Crystal system   monoclinic
ΔE to the lowest computed polymorph   17 meV per atom
Total magnetization   0.00 μB per formula unit